Arrangement a

Compound: Cs2HgAs2
Source: Alexandria via LeMat-Bulk
Functional: meta-GGA SCAN
Structure: single point on PBEsol structure

Results
SG = No. 139

Lattice parameters (Å, degrees): 3.826 3.826 11.894 99.26 99.26 90.00
Sites, in units of the cell vectors:
1 Cs 0.380 0.380 0.760
2 Cs 0.620 0.620 0.240
3 As 0.250 0.750 0.500
4 As 0.750 0.250 0.500
5 Hg 0.000 0.000 0.000

Arrangement b

Compound: Cs2HgAs2
Source: Alexandria via LeMat-Bulk
Functional: meta-GGA SCAN
Structure: single point on PBEsol structure

Results
SG = No. 139

Lattice parameters (Å, degrees): 6.504 6.504 6.504 95.94 116.63 116.63
Sites, in units of the cell vectors:
1 Cs 0.500 0.750 0.250
2 Cs 0.500 0.250 0.750
3 As 0.000 0.632 0.632
4 As 0.000 0.368 0.368
5 Hg 0.000 0.000 0.000

It is arrangement b that is the most stable of them.

Arrangement a

Compound: CsRbAsSe2
Source: Alexandria via LeMat-Bulk
Functional: meta-GGA SCAN
Structure: single point on PBEsol structure

Results
SG = No. 123

Lattice parameters (Å, degrees): 5.983 5.919 5.919 90.00 90.00 90.00
Each line ends with the local moment (μB).
Sites, in units of the cell vectors:
1 Cs 0.000 0.000 0.000  0.01
2 As 0.500 0.000 0.000  0.81
3 Se 0.000 0.000 0.500  0.17
4 Se 0.000 0.500 0.000  0.17
5 Rb 0.500 0.500 0.500  0.00

Arrangement b

Compound: CsRbAsSe2
Source: Alexandria via LeMat-Bulk
Functional: meta-GGA SCAN
Structure: single point on PBEsol structure

Results
SG = No. 123

Lattice parameters (Å, degrees): 6.176 6.176 6.353 90.00 90.00 90.00
Each line ends with the local moment (μB).
Sites, in units of the cell vectors:
1 Cs 0.500 0.500 0.500  0.00
2 As 0.000 0.000 0.500  1.16
3 Se 0.000 0.500 0.000  0.67
4 Se 0.500 0.000 0.000  0.67
5 Rb 0.000 0.000 0.000  0.09

It is arrangement b that is the most stable of them.

Arrangement a

Compound: CsTcAsSe2
Source: Alexandria via LeMat-Bulk
Functional: meta-GGA SCAN
Structure: single point on PBEsol structure

Results
SG = No. 123

Lattice parameters (Å, degrees): 5.524 5.524 5.601 90.00 90.00 90.00
Each line ends with the local moment (μB).
Sites, in units of the cell vectors:
1 Cs 0.000 0.000 0.000  0.00
2 As 0.000 0.000 0.500  -0.43
3 Tc 0.500 0.500 0.500  4.46
4 Se 0.000 0.500 0.000  -0.08
5 Se 0.500 0.000 0.000  -0.08

Arrangement b

Compound: CsTcAsSe2
Source: Alexandria via LeMat-Bulk
Functional: meta-GGA SCAN
Structure: single point on PBEsol structure

Results
SG = No. 123

Lattice parameters (Å, degrees): 4.752 5.098 5.098 90.00 90.00 90.00
Each line ends with the local moment (μB).
Sites, in units of the cell vectors:
1 Cs 0.500 0.500 0.500  0.01
2 As 0.500 0.000 0.000  -0.19
3 Tc 0.000 0.000 0.000  1.63
4 Se 0.000 0.000 0.500  0.16
5 Se 0.000 0.500 0.000  0.16

It is arrangement b that is the most stable of them.

Arrangement a

Compound: CsTl2As2
Source: Alexandria via LeMat-Bulk
Functional: meta-GGA SCAN
Structure: single point on PBEsol structure

Results
SG = No. 139

Lattice parameters (Å, degrees): 5.097 5.097 6.870 111.78 111.78 90.00
Sites, in units of the cell vectors:
1 Cs 0.000 0.000 0.000
2 Tl 0.250 0.750 0.500
3 Tl 0.750 0.250 0.500
4 As 0.395 0.395 0.790
5 As 0.605 0.605 0.210

Arrangement b

Compound: CsTl2As2
Source: Alexandria via LeMat-Bulk
Functional: meta-GGA SCAN
Structure: single point on PBEsol structure

Results
SG = No. 139

Lattice parameters (Å, degrees): 5.165 5.165 6.574 113.13 113.13 90.00
Sites, in units of the cell vectors:
1 Cs 0.000 0.000 0.000
2 Tl 0.365 0.365 0.730
3 Tl 0.635 0.635 0.270
4 As 0.250 0.750 0.500
5 As 0.750 0.250 0.500

It is arrangement a that is the most stable of them.

Arrangement a

Compound: CuAs3F
Source: Alexandria via LeMat-Bulk
Functional: meta-GGA SCAN
Structure: single point on PBEsol structure

Results
SG = No. 221

Lattice parameters (Å, degrees): 4.591 4.591 4.591 90.00 90.00 90.00
Sites, in units of the cell vectors:
1 As 0.000 0.500 0.000
2 As 0.000 0.000 0.500
3 As 0.500 0.000 0.000
4 Cu 0.000 0.000 0.000
5 F 0.500 0.500 0.500

Arrangement b

Compound: CuAs3F
Source: Alexandria via LeMat-Bulk
Functional: meta-GGA SCAN
Structure: single point on PBEsol structure

Results
SG = No. 221

Lattice parameters (Å, degrees): 4.428 4.428 4.428 90.00 90.00 90.00
Sites, in units of the cell vectors:
1 As 0.000 0.500 0.000
2 As 0.000 0.000 0.500
3 As 0.500 0.000 0.000
4 Cu 0.500 0.500 0.500
5 F 0.000 0.000 0.000

It is arrangement a that is the most stable of them.

Arrangement a

Compound: CuAsH2
Source: Alexandria via LeMat-Bulk
Functional: meta-GGA SCAN
Structure: single point on PBEsol structure

Results
SG = No. 122

Lattice parameters (Å, degrees): 4.635 4.945 4.635 62.05 90.00 117.95
Sites, in units of the cell vectors:
1 H 0.227 0.750 0.875
2 H 0.523 0.750 0.375
3 H 0.375 0.250 0.227
4 H 0.875 0.250 0.523
5 As 0.750 0.500 0.750
6 As 0.000 0.000 0.000
7 Cu 0.250 0.500 0.250
8 Cu 0.500 0.000 0.500

Arrangement b

Compound: CuAsH2
Source: Alexandria via LeMat-Bulk
Functional: meta-GGA SCAN
Structure: single point on PBEsol structure

Results
SG = No. 225

Lattice parameters (Å, degrees): 3.706 3.706 3.706 60.00 60.00 60.00
Sites, in units of the cell vectors:
1 H 0.250 0.250 0.250
2 H 0.750 0.750 0.750
3 As 0.500 0.500 0.500
4 Cu 0.000 0.000 0.000

It is arrangement a that is the most stable of them.

Arrangement a

Compound: Tl2CuAsO4
Source: Alexandria via LeMat-Bulk
Functional: meta-GGA SCAN
Structure: single point on PBEsol structure

Results
SG = No. 14

Lattice parameters (Å, degrees): 5.445 8.570 11.403 96.13 90.00 90.00
Sites, in units of the cell vectors:
1 Tl 0.762 0.306 0.632
2 Tl 0.262 0.694 0.868
3 Tl 0.774 0.004 0.387
4 Tl 0.726 0.004 0.887
5 Tl 0.226 0.996 0.613
6 Tl 0.238 0.694 0.368
7 Tl 0.738 0.306 0.132
8 Tl 0.274 0.996 0.113
9 Cu 0.315 0.510 0.093
10 Cu 0.185 0.510 0.593
11 Cu 0.685 0.490 0.907
12 Cu 0.815 0.490 0.407
13 As 0.733 0.714 0.625
14 As 0.767 0.714 0.125
15 As 0.233 0.286 0.875
16 As 0.267 0.286 0.375
17 O 0.568 0.577 0.691
18 O 0.046 0.701 0.655
19 O 0.306 0.316 0.527
20 O 0.432 0.423 0.309
21 O 0.546 0.299 0.845
22 O 0.148 0.098 0.827
23 O 0.806 0.684 0.973
24 O 0.454 0.701 0.155
25 O 0.648 0.902 0.673
26 O 0.694 0.684 0.473
27 O 0.068 0.423 0.809
28 O 0.352 0.098 0.327
29 O 0.932 0.577 0.191
30 O 0.852 0.902 0.173
31 O 0.194 0.316 0.027
32 O 0.954 0.299 0.345

Arrangement b

Compound: Tl2CuAsO4
Source: Alexandria via LeMat-Bulk
Functional: meta-GGA SCAN
Structure: single point on PBEsol structure

Results
SG = No. 4

Lattice parameters (Å, degrees): 5.481 5.573 8.671 95.13 90.00 90.00
Sites, in units of the cell vectors:
1 Tl 0.494 0.265 0.191
2 Tl 0.014 0.272 0.504
3 Tl 0.994 0.735 0.809
4 Tl 0.514 0.728 0.496
5 Cu 0.048 0.288 0.990
6 Cu 0.548 0.712 0.010
7 As 0.488 0.251 0.784
8 As 0.988 0.749 0.216
9 O 0.682 0.833 0.201
10 O 0.073 0.834 0.403
11 O 0.488 0.565 0.812
12 O 0.988 0.435 0.188
13 O 0.666 0.124 0.918
14 O 0.182 0.167 0.799
15 O 0.573 0.166 0.597
16 O 0.166 0.876 0.082

It is arrangement a that is the most stable of them.

Arrangement a

Compound: Cu2AsP
Source: Alexandria via LeMat-Bulk
Functional: meta-GGA SCAN
Structure: single point on PBEsol structure

Results
SG = No. 25

Lattice parameters (Å, degrees): 2.578 3.536 6.414 90.00 90.00 90.00
Sites, in units of the cell vectors:
1 As 0.500 0.500 0.815
2 Cu 0.000 0.000 0.026
3 Cu 0.500 0.500 0.247
4 P 0.000 0.000 0.411

Arrangement b

Compound: Cu2AsP
Source: Alexandria via LeMat-Bulk
Functional: meta-GGA SCAN
Structure: single point on PBEsol structure

Results
SG = No. 216

Lattice parameters (Å, degrees): 4.315 4.315 4.315 60.00 60.00 60.00
Sites, in units of the cell vectors:
1 As 0.500 0.500 0.500
2 Cu 0.000 0.000 0.000
3 Cu 0.750 0.750 0.750
4 P 0.250 0.250 0.250

It is arrangement a that is the most stable of them.

Arrangement a

Compound: CuReAs2
Source: Alexandria via LeMat-Bulk
Functional: meta-GGA SCAN
Structure: single point on PBEsol structure

Results
SG = No. 35

Lattice parameters (Å, degrees): 2.763 2.763 9.417 90.00 90.00 115.96
Sites, in units of the cell vectors:
1 As 0.000 0.000 0.041
2 As 0.500 0.500 0.704
3 Cu 0.000 0.000 0.491
4 Re 0.500 0.500 0.264

Arrangement b

Compound: CuReAs2
Source: Alexandria via LeMat-Bulk
Functional: meta-GGA SCAN
Structure: single point on PBEsol structure

Results
SG = No. 71

Lattice parameters (Å, degrees): 3.526 4.492 4.651 118.88 112.28 90.00
Sites, in units of the cell vectors:
1 As 0.774 0.774 0.548
2 As 0.226 0.226 0.452
3 Cu 0.500 0.000 0.000
4 Re 0.000 0.500 0.000

It is arrangement a that is the most stable of them.

Arrangement a

Compound: CuSiAs2
Source: Alexandria via LeMat-Bulk
Functional: meta-GGA SCAN
Structure: single point on PBEsol structure

Results
SG = No. 119

Lattice parameters (Å, degrees): 3.624 3.624 5.568 109.00 109.00 90.00
Sites, in units of the cell vectors:
1 As 0.000 0.000 0.000
2 As 0.750 0.250 0.500
3 Cu 0.500 0.500 0.000
4 Si 0.250 0.750 0.500

Arrangement b

Compound: CuSiAs2
Source: Alexandria via LeMat-Bulk
Functional: meta-GGA SCAN
Structure: single point on PBEsol structure

Results
SG = No. 122

Lattice parameters (Å, degrees): 5.505 5.505 6.591 114.69 114.69 90.00
Sites, in units of the cell vectors:
1 As 0.368 0.875 0.250
2 As 0.882 0.375 0.250
3 As 0.125 0.118 0.750
4 As 0.625 0.632 0.750
5 Si 0.750 0.250 0.500
6 Si 0.500 0.500 0.000
7 Cu 0.250 0.750 0.500
8 Cu 0.000 0.000 0.000

It is arrangement b that is the most stable of them.

Arrangement a

Compound: CuSn2As2
Source: Alexandria via LeMat-Bulk
Functional: meta-GGA SCAN
Structure: single point on PBEsol structure

Results
SG = No. 139

Lattice parameters (Å, degrees): 3.575 3.575 8.825 101.69 101.69 90.00
Sites, in units of the cell vectors:
1 As 0.250 0.750 0.500
2 As 0.750 0.250 0.500
3 Sn 0.409 0.409 0.818
4 Sn 0.591 0.591 0.182
5 Cu 0.000 0.000 0.000

Arrangement b

Compound: CuSn2As2
Source: Alexandria via LeMat-Bulk
Functional: meta-GGA SCAN
Structure: single point on PBEsol structure

Results
SG = No. 127

Lattice parameters (Å, degrees): 5.657 6.181 6.181 90.00 90.00 90.00
Sites, in units of the cell vectors:
1 As 0.000 0.359 0.859
2 As 0.000 0.859 0.641
3 As 0.000 0.641 0.141
4 As 0.000 0.141 0.359
5 Sn 0.500 0.293 0.793
6 Sn 0.500 0.793 0.707
7 Sn 0.500 0.707 0.207
8 Sn 0.500 0.207 0.293
9 Cu 0.000 0.000 0.000
10 Cu 0.000 0.500 0.500

It is arrangement b that is the most stable of them.

Arrangement a

Compound: TlCuAs2
Source: Alexandria via LeMat-Bulk
Functional: meta-GGA SCAN
Structure: single point on PBEsol structure

Results
SG = No. 71

Lattice parameters (Å, degrees): 2.979 5.169 5.819 116.37 104.83 90.00
Sites, in units of the cell vectors:
1 As 0.700 0.700 0.401
2 As 0.300 0.300 0.599
3 Cu 0.000 0.500 0.000
4 Tl 0.500 0.000 0.000

Arrangement b

Compound: TlCuAs2
Source: Alexandria via LeMat-Bulk
Functional: meta-GGA SCAN
Structure: single point on PBEsol structure

Results
SG = No. 10

Lattice parameters (Å, degrees): 3.844 4.334 5.295 106.83 90.00 90.00
Sites, in units of the cell vectors:
1 Tl 0.500 0.500 0.000
2 As 0.000 0.226 0.345
3 As 0.000 0.774 0.655
4 Cu 0.500 0.000 0.500

It is arrangement b that is the most stable of them.